1.
A relaxed SnAu4 crystal, computed with PBE-GGA.

- crystal system = monoclinic
- formation energy (eV per atom) = 0.02

Cell: 3.9248 3.9241 7.4182 Å, 104.44 104.44 89.93°
Closest atoms and distances in Å follow each position.
Atoms (fractional coordinates):
Au1 0.8967 0.3967 0.3036  5 Au 2.73-2.89, 1 Sn 3.04
Au2 0.7493 0.7506 0.0000  8 Au 2.77-2.89
Au3 0.1033 0.6033 0.6964  5 Au 2.73-2.89, 1 Sn 3.04
Au4 0.2507 0.2494 0.0000  8 Au 2.77-2.89
Sn1 0.5000 0.0000 0.5000  8 Au 3.04-3.15


2.
A relaxed SnAu4 crystal, computed with PBE-GGA.

- crystal system = orthorhombic
- formation energy (eV per atom) = -0.01

Cell: 4.5578 5.8274 8.2398 Å, 110.71 106.06 90.00°
Closest atoms and distances in Å follow each position.
Atoms (fractional coordinates):
Au1 0.8880 0.6380 0.7760  3 Sn 2.92-3.17, 10 Au 2.95-3.21
Au2 0.6931 0.1950 0.3863  7 Au 2.83-2.95, 2 Sn 3.02
Au3 0.5000 0.0000 0.0000  8 Au 2.84-3.17, 4 Sn 3.10
Au4 0.1120 0.3620 0.2240  3 Sn 2.92-3.17, 10 Au 2.95-3.21
Au5 0.3069 0.8050 0.6137  7 Au 2.83-2.95, 2 Sn 3.02
Au6 0.3069 0.3087 0.6137  7 Au 2.83-2.95, 2 Sn 3.02
Au7 0.5000 0.5000 0.0000  8 Au 2.84-3.17, 4 Sn 3.10
Au8 0.6931 0.6913 0.3863  7 Au 2.83-2.95, 2 Sn 3.02
Sn1 0.8966 0.1466 0.7932  11 Au 2.92-3.17
Sn2 0.1034 0.8534 0.2068  11 Au 2.92-3.17